# 1
Density functional theory data (GGA-PBE) for BaTa2 after structural relaxation.

POSCAR file:
```
BaTa2
1.0
0.000 4.211 4.211
4.211 0.000 4.211
4.211 4.211 0.000
Ba Ta
2 4
Cartesian
2.105 2.105 2.105 Ba
0.000 0.000 0.000 Ba
5.263 5.263 5.263 Ta
5.263 3.158 3.158 Ta
3.158 3.158 5.263 Ta
3.158 5.263 3.158 Ta
```

Values from the calculation:
**Symmetry**: Fd-3m (227)
**Total DFT energy (no corrections)**: -7.5446 eV per atom
**M_tot**: 0.2 Bohr magnetons per cell



# 2
Density functional theory data (GGA-PBE) for PmSbNO after structural relaxation.

POSCAR file:
```
PmSbNO
1.0
3.186 -3.186 0.000
3.186 3.186 0.000
0.000 0.000 7.539
Pm Sb N O
2 2 2 2
Cartesian
4.780 0.000 6.615 Pm
1.593 0.000 0.924 Pm
3.186 -1.593 3.770 Sb
3.186 1.593 3.770 Sb
1.593 0.000 3.274 N
4.780 0.000 4.265 N
3.186 1.593 0.000 O
3.186 -1.593 0.000 O
```

Values from the calculation:
**Symmetry**: P4/nmm (129)
**Energy relative to the lowest polymorph listed for this composition**: 1.73 kJ per mole of atoms
**Total DFT energy (no corrections)**: -6.6722 eV per atom
**M_tot**: 0.0 Bohr magnetons per cell



# 3
Density functional theory data (GGA-PBE) for Co2GeW after structural relaxation.

POSCAR file:
```
Co2GeW
1.0
2.674 0.372 3.167
-0.786 2.683 3.083
-1.035 -1.413 3.775
Co W Ge
2 1 1
Cartesian
0.640 1.232 7.519 Co
0.000 0.000 0.000 Co
0.213 0.411 2.506 W
0.427 0.821 5.012 Ge
```

Values from the calculation:
**Symmetry**: F-43m (216)
**Total DFT energy (no corrections)**: -7.7846 eV per atom
**M_tot**: 0.3 Bohr magnetons per cell



# 4
Density functional theory data (GGA-PBE) for Tm4CdSnN2 after structural relaxation.

POSCAR file:
```
Tm4CdSnN2
1.0
3.453 0.000 0.000
-1.726 2.990 0.000
0.000 0.000 15.368
N Tm Cd Sn
2 4 1 1
Cartesian
1.726 0.997 11.594 N
1.726 0.997 3.774 N
0.000 0.000 12.858 Tm
0.000 1.994 5.120 Tm
0.000 1.994 10.248 Tm
0.000 0.000 2.510 Tm
0.000 0.000 7.684 Cd
0.000 1.994 0.000 Sn
```

Values from the calculation:
**Symmetry**: P-6m2 (187)
**Total DFT energy (no corrections)**: -6.0092 eV per atom
**M_tot**: 0.1 Bohr magnetons per cell



# 5
Density functional theory data (GGA-PBE) for Tl8Ir after structural relaxation.

POSCAR file:
```
Tl8Ir
1.0
-3.637 3.637 4.790
3.637 -3.637 4.790
3.637 3.637 -4.790
Tl Ir
8 1
Cartesian
0.000 0.000 2.680 Tl
0.000 3.637 2.395 Tl
1.920 1.920 0.000 Tl
1.717 -1.717 4.790 Tl
1.717 1.717 4.790 Tl
0.000 0.000 6.900 Tl
3.637 0.000 2.395 Tl
-1.717 1.717 4.790 Tl
0.000 0.000 0.000 Ir
```

Values from the calculation:
**Symmetry**: I4/mmm (139)
**Energy relative to the lowest polymorph listed for this composition**: 0.00 kJ per mole of atoms
**Total DFT energy (no corrections)**: -2.9267 eV per atom
**M_tot**: 0.0 Bohr magnetons per cell



# 6
Density functional theory data (GGA-PBE) for Al2PdPt2 after structural relaxation.

POSCAR file:
```
Al2PdPt2
1.0
-1.935 1.935 5.610
1.935 -1.935 5.610
1.935 1.935 -5.610
Pt Al Pd
2 2 1
Cartesian
0.000 0.000 6.909 Pt
0.000 0.000 4.310 Pt
0.000 1.935 2.805 Al
1.935 0.000 2.805 Al
0.000 0.000 0.000 Pd
```

Values from the calculation:
**Symmetry**: I4/mmm (139)
**Total DFT energy (no corrections)**: -5.5687 eV per atom
**M_tot**: 0.0 Bohr magnetons per cell



# 7
Density functional theory data (GGA-PBE) for Tb2DyCd3AgAu2 after structural relaxation.

POSCAR file:
```
Tb2DyCd3AgAu2
1.0
3.839 0.000 0.000
0.000 6.824 3.941
0.000 -6.824 3.941
Cd Dy Ag Au Tb
3 1 1 2 2
Cartesian
1.920 -1.793 1.035 Cd
1.920 0.000 5.811 Cd
1.920 1.793 1.035 Cd
0.000 0.000 3.220 Dy
0.000 0.000 0.000 Ag
1.920 2.273 3.940 Au
1.920 -2.273 3.940 Au
0.000 -4.037 2.331 Tb
0.000 4.037 2.331 Tb
```

Values from the calculation:
**Symmetry**: Amm2 (38)
**Formation energy from the elements**: -0.583 eV per atom
**Total DFT energy (no corrections)**: -3.4614 eV per atom
**M_tot**: 0.0 Bohr magnetons per cell



# 8
Density functional theory data (GGA-PBE) for AlTlTe3Pd after structural relaxation.

POSCAR file:
```
AlTlTe3Pd
1.0
8.934 0.000 0.000
0.000 4.155 0.000
-3.368 0.000 9.189
Tl Al Te Pd
2 2 6 2
Cartesian
6.446 3.116 6.479 Tl
-0.880 1.039 2.710 Tl
3.255 1.039 1.296 Al
2.311 3.116 7.893 Al
0.017 1.039 7.800 Te
4.353 1.039 8.203 Te
5.549 3.116 1.388 Te
4.204 1.039 4.379 Te
1.213 3.116 0.986 Te
1.362 3.116 4.810 Te
2.324 1.039 6.373 Pd
3.242 3.116 2.815 Pd
```

Values from the calculation:
**Symmetry**: P2_1/m (11)
**Energy relative to the lowest polymorph listed for this composition**: 0.00 kJ per mole of atoms
**Total DFT energy (no corrections)**: -3.7708 eV per atom



# 9
Density functional theory data (GGA-PBE) for NbIn2Au after structural relaxation.

POSCAR file:
```
NbIn2Au
1.0
-4.667 1.422 -0.082
-1.698 2.579 -3.778
-3.119 -2.046 -3.145
Nb Au In
1 1 2
Cartesian
-4.742 0.977 -3.503 Nb
-2.371 0.489 -1.751 Au
-7.113 1.466 -5.254 In
0.000 0.000 0.000 In
```

Values from the calculation:
**Symmetry**: F-43m (216)
**Total DFT energy (no corrections)**: -4.4126 eV per atom
**M_tot**: 1.9 Bohr magnetons per cell



# 10
Density functional theory data (GGA-PBE) for SiTe4Pd after structural relaxation.

POSCAR file:
```
SiTe4Pd
1.0
2.745 3.782 -6.830
-6.094 -2.181 5.157
1.492 8.893 5.524
Pd Te Si
2 8 2
Cartesian
-3.234 5.834 7.100 Pd
1.440 5.044 -3.011 Pd
-2.125 2.142 1.348 Te
2.309 7.601 -2.304 Te
-0.750 8.911 5.073 Te
-4.849 -1.171 3.630 Te
-3.844 2.044 4.695 Te
0.144 7.616 2.045 Te
-0.514 5.127 0.979 Te
2.264 10.108 0.186 Te
0.552 2.883 -3.302 Si
-2.937 4.473 5.203 Si
```

Values from the calculation:
**Symmetry**: Cmc2_1 (36)
**Total DFT energy (no corrections)**: -3.9972 eV per atom



# 11
Density functional theory data (GGA-PBE) for CsPrAsO after structural relaxation.

POSCAR file:
```
CsPrAsO
1.0
-0.965 -3.169 -1.547
8.078 -1.751 -1.453
0.522 -3.828 7.514
O Pr Cs As
2 2 2 2
Cartesian
5.788 -4.376 1.033 O
1.988 -5.410 5.520 O
5.274 -2.851 2.550 Pr
3.544 -4.333 6.665 Pr
7.192 -3.620 -1.391 Cs
0.287 -3.981 3.655 Cs
2.592 -1.707 1.879 As
6.068 -4.318 5.058 As
```

Values from the calculation:
**Symmetry**: Pmc2_1 (26)
**Energy relative to the lowest polymorph listed for this composition**: 0.00 kJ per mole of atoms
**Total DFT energy (no corrections)**: -5.2461 eV per atom
**M_tot**: 0.0 Bohr magnetons per cell



# 12
Density functional theory data (GGA-PBE) for PrAgAs after structural relaxation.

POSCAR file:
```
PrAgAs
1.0
0.000 3.486 3.486
3.486 0.000 3.486
3.486 3.486 0.000
As Pr Ag
1 1 1
Cartesian
5.228 5.228 5.228 As
0.000 0.000 0.000 Pr
1.743 1.743 1.743 Ag
```

Values from the calculation:
**Symmetry**: F-43m (216)
**Total DFT energy (no corrections)**: -4.4902 eV per atom
**M_tot**: 0.0 Bohr magnetons per cell



# 13
Density functional theory data (GGA-PBE) for TcGe2Mo2 after structural relaxation.

POSCAR file:
```
TcGe2Mo2
1.0
5.851 2.518 0.006
3.643 1.814 4.901
-3.678 -4.651 -2.328
Ge Mo Tc
2 2 1
Cartesian
5.702 2.602 2.947 Ge
3.792 1.730 1.960 Ge
3.460 0.017 0.066 Mo
2.356 -0.335 2.513 Mo
0.000 0.000 0.000 Tc
```

Values from the calculation:
**Symmetry**: I4/mmm (139)
**Energy relative to the lowest polymorph listed for this composition**: 0.00 kJ per mole of atoms
**Total DFT energy (no corrections)**: -7.6434 eV per atom
**M_tot**: 3.1 Bohr magnetons per cell



# 14
Density functional theory data (GGA-PBE) for Er4InSN2 after structural relaxation.

POSCAR file:
```
Er4InSN2
1.0
-2.310 -1.433 -2.246
-0.661 -0.024 3.463
-6.531 12.345 -1.162
N Er S In
2 4 1 1
Cartesian
-6.487 7.971 -1.184 N
-3.564 2.447 -0.664 N
-4.130 7.806 -0.735 Er
-6.553 9.605 0.610 Er
-2.399 1.753 1.349 Er
-2.401 4.538 -0.427 Er
-4.476 5.679 0.979 S
0.000 0.000 0.000 In
```

Values from the calculation:
**Symmetry**: P-6m2 (187)
**Total DFT energy (no corrections)**: -6.6832 eV per atom
**M_tot**: 0.0 Bohr magnetons per cell



# 15
Density functional theory data (GGA-PBE) for MoSe2S2Br after structural relaxation.

POSCAR file:
```
MoSe2S2Br
1.0
6.313 0.000 0.000
1.113 7.807 0.000
3.150 3.418 6.463
S Mo Se Br
4 2 4 2
Cartesian
6.304 5.200 6.376 S
4.271 6.025 0.087 S
4.261 9.790 5.085 S
6.314 1.435 1.379 S
8.063 3.421 6.460 Mo
2.512 7.804 0.003 Mo
7.422 5.883 0.912 Se
3.154 5.342 5.551 Se
4.273 7.252 1.928 Se
6.302 3.973 4.535 Se
3.160 3.206 2.614 Br
7.416 8.019 3.849 Br
```

Values from the calculation:
**Symmetry**: P-1 (2)
**Energy relative to the lowest polymorph listed for this composition**: 4.69 kJ per mole of atoms
**Total DFT energy (no corrections)**: -4.9993 eV per atom
**M_tot**: 0.0 Bohr magnetons per cell



# 16
Density functional theory data (GGA-PBE) for AcFeSn after structural relaxation.

POSCAR file:
```
AcFeSn
1.0
0.000 3.447 3.447
3.447 0.000 3.447
3.447 3.447 0.000
Fe Ac Sn
1 1 1
Cartesian
0.000 0.000 0.000 Fe
1.724 1.724 1.724 Ac
5.171 5.171 5.171 Sn
```

Values from the calculation:
**Symmetry**: F-43m (216)
**Energy relative to the lowest polymorph listed for this composition**: 0.00 kJ per mole of atoms
**Total DFT energy (no corrections)**: -5.4883 eV per atom
**M_tot**: 3.0 Bohr magnetons per cell



# 17
Density functional theory data (GGA-PBE) for GdTmPb after structural relaxation.

POSCAR file:
```
GdTmPb
1.0
-4.623 -0.387 2.250
-3.809 3.193 -1.371
-4.027 -1.791 -2.676
Pb Gd Tm
1 1 1
Cartesian
0.000 0.000 0.000 Pb
-3.115 0.254 -0.449 Gd
-9.345 0.761 -1.348 Tm
```

Values from the calculation:
**Symmetry**: F-43m (216)
**Energy relative to the lowest polymorph listed for this composition**: 0.00 kJ per mole of atoms
**Total DFT energy (no corrections)**: -4.4536 eV per atom
**M_tot**: 0.0 Bohr magnetons per cell



# 18
Density functional theory data (GGA-PBE) for KRbHfS3 after structural relaxation.

POSCAR file:
```
KRbHfS3
1.0
-1.490 -7.609 0.439
2.159 -0.604 -3.136
8.661 -0.390 6.038
K Rb S Hf
2 2 6 2
Cartesian
2.756 -1.136 -1.438 K
6.575 -7.467 4.780 K
4.990 -6.395 1.113 Rb
4.341 -2.208 2.229 Rb
0.707 -5.685 -1.973 S
3.358 -4.027 -0.467 S
8.624 -2.918 5.314 S
1.791 -6.858 1.369 S
5.973 -4.576 3.809 S
7.540 -1.745 1.973 S
1.070 -4.760 0.469 Hf
8.260 -3.843 2.873 Hf
```

Values from the calculation:
**Symmetry**: P2_1/m (11)
**Energy relative to the lowest polymorph listed for this composition**: 0.00 kJ per mole of atoms
**Total DFT energy (no corrections)**: -5.5302 eV per atom
**M_tot**: 0.0 Bohr magnetons per cell



# 19
Density functional theory data (GGA-PBE) for CoPW4N2 after structural relaxation.

POSCAR file:
```
CoPW4N2
1.0
2.878 0.000 0.000
-1.439 2.492 0.000
0.000 0.000 13.632
W P N Co
4 1 2 1
Cartesian
1.439 0.831 11.557 W
0.000 0.000 4.945 W
0.000 0.000 8.686 W
1.439 0.831 2.075 W
1.439 0.831 6.816 P
0.000 1.662 10.143 N
0.000 1.662 3.488 N
0.000 0.000 0.000 Co
```

Values from the calculation:
**Symmetry**: P-6m2 (187)
**Total DFT energy (no corrections)**: -9.9553 eV per atom
**M_tot**: 0.1 Bohr magnetons per cell



# 20
Density functional theory data (GGA-PBE) for NdDy2Cd3CuAu2 after structural relaxation.

POSCAR file:
```
NdDy2Cd3CuAu2
1.0
-2.319 -1.973 2.453
5.953 -4.666 1.875
-1.314 6.543 4.023
Au Dy Nd Cu Cd
2 2 1 1 3
Cartesian
2.388 -1.959 3.798 Au
-0.086 1.856 4.529 Au
2.429 -1.903 0.765 Dy
-0.535 2.669 1.641 Dy
2.746 1.111 3.491 Nd
0.010 0.004 0.013 Cu
3.343 -4.502 2.656 Cd
-0.035 -0.532 2.655 Cd
-2.139 3.954 4.276 Cd
```

Values from the calculation:
**Symmetry**: Amm2 (38)
**Formation energy from the elements**: -0.567 eV per atom
**Total DFT energy (no corrections)**: -3.5561 eV per atom
**M_tot**: 0.0 Bohr magnetons per cell